# 1
A relaxed Dy2Ni7 crystal. Source: OQMD, functional PBE-GGA.

Cell lengths 4.9136, 4.9136, 24.0774 Å; angles 90.00, 90.00, 120.00 degrees
Space group P6_3/mmc (No. 194)
Inequivalent atoms, fractional coordinates:
1 Dy 0.3333 0.6667 0.0292 (multiplicity 4)
2 Dy 0.3333 0.6667 0.1738 (multiplicity 4)
3 Ni 0.0000 0.0000 0.0000 (multiplicity 2)
4 Ni 0.0000 0.0000 0.1674 (multiplicity 4)
5 Ni 0.1668 0.3336 0.7500 (multiplicity 6)
6 Ni 0.1673 0.3345 0.5852 (multiplicity 12)
7 Ni 0.3333 0.6667 0.6671 (multiplicity 4)

Results
Calculated total energy in eV/atom: -5.749

---

# 2
A relaxed La2GdSn3Pb4 crystal. Source: OQMD, functional PBE-GGA.

Cell lengths 4.719, 26.099, 4.725 Å; angles 90.00, 90.00, 90.00 degrees
Space group Cmmm (No. 65)
Inequivalent atoms, fractional coordinates:
1 La 0.000 0.184 0.000 (multiplicity 4)
2 Gd 0.000 0.000 0.000 (multiplicity 2)
3 Sn 0.000 0.093 0.500 (multiplicity 4)
4 Sn 0.000 0.500 0.500 (multiplicity 2)
5 Pb 0.000 0.293 0.500 (multiplicity 4)
6 Pb 0.000 0.407 0.000 (multiplicity 4)

Results
Calculated total energy in eV/atom: -4.642
ΔE to the lowest computed polymorph in eV per atom: 0.010

---

# 3
A relaxed Ho3AlIn crystal. Source: OQMD, functional PBE-GGA.

Cell lengths 5.594, 5.594, 5.594 Å; angles 90.00, 90.00, 90.00 degrees
Space group Pm-3m (No. 221)
Inequivalent atoms, fractional coordinates:
1 Ho 0.000 0.000 0.500 (multiplicity 3)
2 Al 0.500 0.500 0.500 (multiplicity 1)
3 In 0.000 0.000 0.000 (multiplicity 1)

Results
Calculated total energy in eV/atom: -3.570